The following is a PBE calculation of crystalline B2PtI at its relaxed geometry, from Alexandria.

Calculated values
* crystal system: tetragonal
* energy relative to the elements, uncorrected: 714 meV per atom
* total magnetic moment: 0.00 μB per formula unit
* uncorrected energy: -36.2 eV for the cell shown

Unit cell a=6.482 b=6.482 c=6.482 alpha=131.56 beta=131.56 gamma=70.92
Sites, in units of the cell vectors:
B 0.029 0.625 0.904
B 0.375 0.279 0.404
B 0.721 0.125 0.096
B 0.875 0.971 0.596
Pt 0.000 0.000 0.000
Pt 0.750 0.250 0.500
I 0.250 0.750 0.500
I 0.500 0.500 0.000